No. 1
A geometry-optimized Pr3NdY structure. Source: the Alexandria database, functional PBE.

Energy relative to the lowest polymorph listed for this composition = 247 meV per atom
ΔE_f = 261 meV/atom

a = 6.9471 Å, b = 6.9471 Å, c = 26.7657 Å
α = 90.00°, β = 90.00°, γ = 120.00°
Last column: nearest neighbours and their distance in Å.
Space group R-3 (No. 148, hexagonal axes)
Asymmetric unit:
1 Pr 0.0042 0.5121 0.2430 x18  4 Pr 3.43-3.52, 3 Nd 3.46-3.77, 1 Y 3.55
2 Nd 0.0000 0.0000 0.1951 x6  1 Y 3.17, 3 Pr 3.46
3 Y 0.0000 0.0000 0.3135 x6  1 Nd 3.17


No. 2
A geometry-optimized AgMoSe structure. Source: the Alexandria database, functional PBE.

E_form (uncorrected) = 0.3703 eV per atom
Energy relative to the lowest polymorph listed for this composition = 286 meV per atom

a = 3.2581 Å, b = 4.8015 Å, c = 14.7375 Å
α = 90.00°, β = 90.00°, γ = 90.00°
Last column: nearest neighbours and their distance in Å.
Space group Fmm2 (No. 42)
Asymmetric unit:
1 Ag 0.0000 0.0000 0.0000 x4  2 Mo 2.87, 4 Ag 2.90
2 Mo 0.0000 0.0000 0.6602 x4  2 Se 2.52
3 Se 0.0000 0.0000 0.2905 x4  2 Mo 2.52


No. 3
A geometry-optimized SrLiPdPb structure. Source: the Alexandria database, functional PBE.

Energy relative to the lowest polymorph listed for this composition = 0 meV per atom
ΔE_f = -482 meV/atom

a = 8.2808 Å, b = 4.7795 Å, c = 5.8876 Å
α = 90.00°, β = 117.78°, γ = 90.00°
Last column: nearest neighbours and their distance in Å.
Space group Cm (No. 8)
Asymmetric unit:
1 Sr 0.0000 0.0000 0.0000 x2  1 Li 3.09, 4 Pd 3.12-3.46
2 Li 0.3019 0.5000 0.4061 x2  3 Pb 2.84-2.85, 3 Pd 2.93-2.94, 1 Sr 3.09
3 Pd 0.1997 0.0000 0.5990 x2  3 Pb 2.78, 3 Li 2.93-2.94
4 Pb 0.0131 0.5000 0.5392 x2  3 Pd 2.78, 3 Li 2.84-2.85